Record 1
# Ba2AgI2O2, relaxed, DFT GGA-PBE
data_Ba2AgI2O2
_cell_length_a 4.417
_cell_length_b 4.417
_cell_length_c 21.007
_cell_angle_alpha 90.00
_cell_angle_beta 90.00
_cell_angle_gamma 90.00
_symmetry_space_group_name_H-M 'I 4/m m m'
_symmetry_Int_Tables_number 139
_symmetry_space_group_name_Hall '-I 4 2'
loop_
_atom_site_label
_atom_site_type_symbol
_atom_site_fract_x
_atom_site_fract_y
_atom_site_fract_z
Ba1 Ba 0.000 0.000 0.086
Ag1 Ag 0.000 0.000 0.500
I1 I 0.000 0.000 0.332
O1 O 0.000 0.500 0.000
# - Energy relative to the elements, uncorrected: -1603.0 meV per atom


Record 2
# BaAgI2O, relaxed, DFT GGA-PBE
data_BaAgI2O
_cell_length_a 5.925
_cell_length_b 5.925
_cell_length_c 4.291
_cell_angle_alpha 90.00
_cell_angle_beta 90.00
_cell_angle_gamma 90.00
_symmetry_space_group_name_H-M 'P 4/m m m'
_symmetry_Int_Tables_number 123
_symmetry_space_group_name_Hall '-P 4 2'
loop_
_atom_site_label
_atom_site_type_symbol
_atom_site_fract_x
_atom_site_fract_y
_atom_site_fract_z
Ba1 Ba 0.000 0.000 0.000
Ag1 Ag 0.500 0.500 0.500
I1 I 0.000 0.500 0.500
O1 O 0.500 0.500 0.000
# - Offset from the most stable computed form: 0 meV/atom
# - Energy relative to the elements, uncorrected: -759.4 meV per atom


Record 3
# BaAgIO6, relaxed, DFT GGA-PBE
data_BaAgIO6
_cell_length_a 5.440
_cell_length_b 5.443
_cell_length_c 5.673
_cell_angle_alpha 91.44
_cell_angle_beta 91.48
_cell_angle_gamma 115.76
_symmetry_space_group_name_H-M 'P 1'
_symmetry_Int_Tables_number 1
loop_
_symmetry_equiv_pos_as_xyz
'x,y,z'
loop_
_atom_site_label
_atom_site_type_symbol
_atom_site_fract_x
_atom_site_fract_y
_atom_site_fract_z
Ba1 Ba 0.000 0.000 0.000
Ag1 Ag 0.320 0.680 0.500
I1 I 0.657 0.342 0.500
O1 O 0.372 0.052 0.667
O2 O 0.383 0.391 0.303
O3 O 0.609 0.616 0.697
O4 O 0.647 0.084 0.277
O5 O 0.916 0.351 0.722
O6 O 0.947 0.628 0.333
# - Energy relative to the elements, uncorrected: -863.4 meV per atom


Record 4
# BaAgOsI2, relaxed, DFT GGA-PBE
data_BaAgOsI2
_cell_length_a 5.619
_cell_length_b 5.619
_cell_length_c 6.292
_cell_angle_alpha 90.00
_cell_angle_beta 90.00
_cell_angle_gamma 90.00
_symmetry_space_group_name_H-M 'P 4/m m m'
_symmetry_Int_Tables_number 123
_symmetry_space_group_name_Hall '-P 4 2'
loop_
_atom_site_label
_atom_site_type_symbol
_atom_site_fract_x
_atom_site_fract_y
_atom_site_fract_z
Ba1 Ba 0.000 0.000 0.000
Ag1 Ag 0.000 0.000 0.500
Os1 Os 0.500 0.500 0.000
I1 I 0.000 0.500 0.500
# - Energy relative to the elements, uncorrected: 892.4 meV per atom


Record 5
# Ba2AgPI, relaxed, DFT GGA-PBE
data_Ba2AgPI
_cell_length_a 6.311
_cell_length_b 6.311
_cell_length_c 4.773
_cell_angle_alpha 90.00
_cell_angle_beta 90.00
_cell_angle_gamma 90.00
_symmetry_space_group_name_H-M 'P 4/m m m'
_symmetry_Int_Tables_number 123
_symmetry_space_group_name_Hall '-P 4 2'
loop_
_atom_site_label
_atom_site_type_symbol
_atom_site_fract_x
_atom_site_fract_y
_atom_site_fract_z
Ba1 Ba 0.000 0.500 0.000
Ag1 Ag 0.000 0.000 0.500
P1 P 0.000 0.000 0.000
I1 I 0.500 0.500 0.500
# - Energy relative to the elements, uncorrected: -845.2 meV per atom


Record 6
# Ba4AgPI2, relaxed, DFT GGA-PBE
data_Ba4AgPI2
_cell_length_a 8.465
_cell_length_b 4.772
_cell_length_c 8.835
_cell_angle_alpha 90.00
_cell_angle_beta 106.80
_cell_angle_gamma 90.00
_symmetry_space_group_name_H-M 'P 1 2/m 1'
_symmetry_Int_Tables_number 10
loop_
_symmetry_equiv_pos_as_xyz
'x,y,z'
'-x,-y,-z'
'-x,y,-z'
'x,-y,z'
loop_
_atom_site_label
_atom_site_type_symbol
_atom_site_fract_x
_atom_site_fract_y
_atom_site_fract_z
Ba1 Ba 0.221 0.000 0.201
Ba2 Ba 0.245 0.500 0.785
Ag1 Ag 0.500 0.000 0.000
P1 P 0.000 0.500 0.000
I1 I 0.000 0.000 0.500
I2 I 0.500 0.500 0.500
# - Energy relative to the elements, uncorrected: -1063.6 meV per atom


> energy relative to the elements, uncorrected of number 1 (Ba2AgI2O2)?

-1603.0 meV per atom